# 1
This record from the Alexandria database describes Er3TeIrCl after structural relaxation. The functional is PBE.

abc: 8.3223 4.1619 9.6692
angles: 90.00 95.49 90.00
With the nearest neighbours (Å) after each atom.
Space group P2_1/m (No. 11)
Unique sites:
Er  0.1378  0.2500  0.3221 (multiplicity 2)  3 Ir 2.78-2.90, 2 Te 3.12
Er  0.1448  0.2500  0.8912 (multiplicity 2)  2 Cl 2.68, 1 Ir 2.75
Er  0.2918  0.7500  0.6180 (multiplicity 2)  2 Ir 2.83, 1 Cl 2.87, 1 Te 3.15
Te  0.4162  0.7500  0.3204 (multiplicity 2)  5 Er 3.12-3.21
Ir  0.0612  0.2500  0.6085 (multiplicity 2)  6 Er 2.75-2.90, 2 Ir 3.06
Cl  0.3481  0.7500  0.9158 (multiplicity 2)  3 Er 2.68-2.87

# 2
This record from the Alexandria database describes KErCl4 after structural relaxation. The functional is PBE.

energy relative to the lowest polymorph listed for this composition = 0.0000 eV/atom

abc: 8.1094 17.3294 6.7965
angles: 90.00 114.07 90.00
With the nearest neighbours (Å) after each atom.
Space group C2/c (No. 15)
Unique sites:
K  0.0000  0.1793  0.2500 (multiplicity 4)  6 Cl 3.20-3.26
Er  0.0000  0.4328  0.2500 (multiplicity 4)  6 Cl 2.55-2.71
Cl  0.1924  0.4529  0.6688 (multiplicity 8)  2 Er 2.65-2.71
Cl  0.2262  0.3307  0.2515 (multiplicity 8)  1 Er 2.55

# 3
This record from the Alexandria database describes K2ErCl6 after structural relaxation. The functional is PBE.

abc: 4.2620 13.9888 8.0621
angles: 90.00 90.00 90.00
With the nearest neighbours (Å) after each atom.
Space group Amm2 (No. 38)
Unique sites:
K  0.0000  0.1669  0.0000 (multiplicity 4)  9 Cl 3.17-3.39
Er  0.5000  0.0000  0.5009 (multiplicity 2)  9 Cl 2.81-2.84
Cl  0.0000  0.0000  0.7335 (multiplicity 2)  2 Er 2.84, 2 K 3.17
Cl  0.0000  0.1162  0.3840 (multiplicity 4)  2 Er 2.84, 2 K 3.18
Cl  0.5000  0.0000  0.1528 (multiplicity 2)  1 Er 2.81
Cl  0.5000  0.1741  0.6741 (multiplicity 4)  1 Er 2.81

# 4
This record from the Alexandria database describes K3ErCl8 after structural relaxation. The functional is PBE.

abc: 7.1443 7.1443 14.6917
angles: 90.00 90.00 90.00
With the nearest neighbours (Å) after each atom.
Space group I4/mmm (No. 139)
Unique sites:
K  0.0000  0.0000  0.0000 (multiplicity 2)  8 Cl 3.25
K  0.0000  0.5000  0.2500 (multiplicity 4)  8 Cl 3.26
Er  0.0000  0.0000  0.5000 (multiplicity 2)  8 Cl 2.78
Cl  0.2223  0.2223  0.3888 (multiplicity 16)  1 Er 2.78

# 5
This record from the Alexandria database describes KEr2Cl7 after structural relaxation. The functional is PBE.

energy relative to the lowest polymorph listed for this composition = 0.0419 eV/atom

abc: 8.4327 13.5681 5.2358
angles: 90.00 90.00 90.00
With the nearest neighbours (Å) after each atom.
Space group Cmmm (No. 65)
Unique sites:
K  0.0000  0.0000  0.0000 (multiplicity 2)  10 Cl 3.60-4.01
Er  0.0000  0.3032  0.5000 (multiplicity 4)  7 Cl 2.62-2.74
Cl  0.0000  0.2953  0.0000 (multiplicity 4)  2 Er 2.62
Cl  0.0000  0.5000  0.5000 (multiplicity 2)  2 Er 2.67
Cl  0.1878  0.1398  0.5000 (multiplicity 8)  2 Er 2.72-2.74

# 6
This record from the Alexandria database describes KEr2Cl7 after structural relaxation. The functional is PBE.

energy relative to the lowest polymorph listed for this composition = 0.0000 eV/atom

abc: 6.9090 12.5295 13.5235
angles: 90.00 92.00 90.00
With the nearest neighbours (Å) after each atom.
Space group P2_1/c (No. 14)
Unique sites:
K  0.2029  0.2135  0.4761 (multiplicity 4)  8 Cl 3.28-3.67
Er  0.2230  0.5358  0.2588 (multiplicity 4)  7 Cl 2.67-2.74
Er  0.2776  0.6613  0.7546 (multiplicity 4)  7 Cl 2.68-2.72
Cl  0.0050  0.7022  0.3189 (multiplicity 4)  2 Er 2.71
Cl  0.0231  0.5697  0.6262 (multiplicity 4)  2 Er 2.69
Cl  0.0641  0.5294  0.8674 (multiplicity 4)  2 Er 2.70-2.72
Cl  0.2484  0.6860  0.1126 (multiplicity 4)  2 Er 2.71-2.74
Cl  0.4534  0.0592  0.6295 (multiplicity 4)  2 Er 2.68-2.71
Cl  0.4561  0.0942  0.8703 (multiplicity 4)  2 Er 2.68-2.71
Cl  0.4834  0.6752  0.3324 (multiplicity 4)  2 Er 2.67-2.69

# 7
This record from the Alexandria database describes KErCl4 after structural relaxation. The functional is PBE.

energy relative to the lowest polymorph listed for this composition = 0.0139 eV/atom

abc: 9.6260 15.1804 6.6649
angles: 90.00 126.08 90.00
With the nearest neighbours (Å) after each atom.
Space group C2/c (No. 15)
Unique sites:
K  0.0000  0.1587  0.2500 (multiplicity 4)  6 Cl 3.10-3.41
Er  0.0000  0.4189  0.7500 (multiplicity 4)  6 Cl 2.53-2.77
Cl  0.1616  0.3028  0.6905 (multiplicity 8)  1 Er 2.53
Cl  0.2034  0.4579  0.2295 (multiplicity 8)  2 Er 2.65-2.77

# 8
This record from the Alexandria database describes KEr4Cl12 after structural relaxation. The functional is PBE.

abc: 10.0918 10.3139 10.3198
angles: 90.00 90.00 90.00
With the nearest neighbours (Å) after each atom.
Space group Immm (No. 71)
Unique sites:
K  0.0000  0.0000  0.0000 (multiplicity 2)  8 Cl 3.27
Er  0.2500  0.2500  0.2500 (multiplicity 8)  6 Cl 2.63-2.64
Cl  0.0000  0.3023  0.3015 (multiplicity 8)  2 Er 2.63
Cl  0.1931  0.0000  0.2544 (multiplicity 8)  2 Er 2.64
Cl  0.1938  0.2541  0.0000 (multiplicity 8)  2 Er 2.64

no.,formation energy from raw total energies (kJ per mole of atoms)
1,-112.7
2,-212.8
3,-170.8
4,-153.3
5,-211.9
6,-215.9
7,-211.4
8,-206.5